A plane-wave DFT calculation with PBE was carried out for an optimized crystal structure of TbCe2Hg6.

formation enthalpy at 0 K = -36 kJ/mol of atoms
total DFT energy (no corrections) = -2.40 eV per atom
crystal system = hexagonal
D(E_F) = 1.49 states/eV per atom
SG = No. 191

Lattice parameters (Å, degrees): 8.751 8.751 3.404 90.00 90.00 120.00
Fractional coordinates of all 9 atoms:
Tb (0.000, 0.000, 0.000)
Ce (0.333, 0.667, 0.000)
Ce (0.667, 0.333, 0.000)
Hg (0.000, 0.331, 0.500)
Hg (0.000, 0.669, 0.500)
Hg (0.331, 0.000, 0.500)
Hg (0.331, 0.331, 0.500)
Hg (0.669, 0.000, 0.500)
Hg (0.669, 0.669, 0.500)